# CsNb3Sb

A PBEsol-optimized structure of CsNb3Sb (SCAN, Alexandria).

Cell lengths 4.9995, 4.9995, 4.9995 Å; angles 90.00, 90.00, 90.00 degrees
With the nearest neighbours (Å) after each atom.
Positions (direct):
1 Cs 0.0000 0.0000 0.0000  6 Nb 2.50
2 Nb 0.0000 0.0000 0.5000  2 Cs 2.50
3 Nb 0.0000 0.5000 0.0000  2 Cs 2.50
4 Nb 0.5000 0.0000 0.0000  2 Cs 2.50
5 Sb 0.5000 0.5000 0.5000  12 Nb 3.54

Crystal system: cubic
Space-group type: Pm-3m, No. 221
Uncorrected formation energy: 251.8 kJ/mol of atoms